Density functional theory data (PBE) for an optimized crystal structure of ReAsP.

Cell lengths 7.5669, 7.3160, 2.8818 Å; angles 83.78, 73.98, 22.25 degrees
Closest atoms and distances in Å follow each position.
Fractional coordinates of all 3 atoms:
As (0.0236, 0.0236, 0.9764)  2 Re 2.65, 4 As 2.88
P (0.3013, 0.3013, 0.6987)  2 Re 2.35
Re (0.6752, 0.6752, 0.3248)  2 P 2.35

## Properties
As for the energy of formation: 0.378 eV per atom. The calculation puts the energy relative to the lowest polymorph listed for this composition at 538 meV per atom.


Density functional theory data (PBE) for an optimized crystal structure of ReAsP2.

Cell lengths 2.8372, 2.8372, 9.0223 Å; angles 90.00, 90.00, 117.67 degrees
Closest atoms and distances in Å follow each position.
Fractional coordinates of all 4 atoms:
As (0.5000, 0.5000, 0.7302)  2 Re 2.70, 6 As 2.84-2.94, 2 P 2.97
P (0.0000, 0.0000, 0.0169)  8 P 2.75-2.94, 2 As 2.97
P (0.5000, 0.5000, 0.2743)  2 Re 2.36
Re (0.0000, 0.0000, 0.4786)  2 P 2.36

## Properties
As for the energy of formation: 0.578 eV per atom.


Density functional theory data (PBE) for an optimized crystal structure of ReAsP2.

Cell lengths 3.0385, 3.0381, 7.1929 Å; angles 90.00, 90.00, 90.00 degrees
Closest atoms and distances in Å follow each position.
Fractional coordinates of all 4 atoms:
As (0.5000, 0.5000, 0.6831)  4 Re 2.70, 1 P 3.03
P (0.0000, 0.0000, 0.0994)  4 P 2.45, 1 Re 2.56
P (0.5000, 0.5000, 0.2624)  4 P 2.45, 4 Re 2.56
Re (0.0000, 0.0000, 0.4551)  5 P 2.56, 4 As 2.70

## Properties
As for the energy of formation: 0.146 eV per atom.


Density functional theory data (PBE) for an optimized crystal structure of ReAsP2.

Cell lengths 3.0629, 4.7634, 4.1070 Å; angles 90.00, 90.00, 90.00 degrees
Closest atoms and distances in Å follow each position.
Fractional coordinates of all 4 atoms:
As (0.0000, 0.5000, 0.5000)  4 P 2.56, 4 Re 2.83
P (0.0000, 0.0000, 0.0000)  4 Re 2.56, 4 P 2.83
P (0.5000, 0.5000, 0.0000)  4 As 2.56, 4 P 2.83
Re (0.5000, 0.0000, 0.5000)  4 P 2.56, 4 As 2.83

## Properties
As for the energy of formation: 0.697 eV per atom.


Density functional theory data (PBE) for an optimized crystal structure of ReAsP2.

Cell lengths 4.4409, 4.4409, 4.0761 Å; angles 71.86, 71.86, 110.11 degrees
Closest atoms and distances in Å follow each position.
Fractional coordinates of all 4 atoms:
As (0.0000, 0.5000, 0.5000)  4 P 2.50, 2 Re 2.54
P (0.0000, 0.0000, 0.0000)  2 As 2.50, 2 Re 2.50, 2 P 2.54
P (0.5000, 0.5000, 0.0000)  2 Re 2.50, 2 As 2.50, 2 P 2.54
Re (0.5000, 0.0000, 0.5000)  4 P 2.50, 2 As 2.54

## Properties
As for the energy of formation: 0.454 eV per atom.


Density functional theory data (PBE) for an optimized crystal structure of ReAsP4.

Cell lengths 5.0059, 5.0059, 5.0059 Å; angles 60.00, 60.00, 60.00 degrees
Closest atoms and distances in Å follow each position.
Fractional coordinates of all 6 atoms:
Re (0.7500, 0.7500, 0.7500)  12 P 2.94, 4 As 3.07
As (0.0000, 0.0000, 0.0000)  12 P 2.93, 4 Re 3.07
P (0.8818, 0.3727, 0.3727)  6 P 2.46-2.55
P (0.3727, 0.3727, 0.8818)  6 P 2.46-2.55
P (0.3727, 0.8818, 0.3727)  6 P 2.46-2.55
P (0.3727, 0.3727, 0.3727)  6 P 2.46-2.55

## Properties
As for the energy of formation: 1.066 eV per atom.


Density functional theory data (PBE) for an optimized crystal structure of ReAsP2S.

Cell lengths 4.7796, 4.7796, 4.3688 Å; angles 90.00, 90.00, 90.00 degrees
Closest atoms and distances in Å follow each position.
Fractional coordinates of all 5 atoms:
Re (0.0000, 0.0000, 0.0000)  2 S 2.18, 4 P 2.39
As (0.5000, 0.5000, 0.5000)  8 P 3.24, 4 S 3.38
S (0.0000, 0.0000, 0.5000)  2 Re 2.18
P (0.0000, 0.5000, 0.0000)  2 Re 2.39
P (0.5000, 0.0000, 0.0000)  2 Re 2.39

## Properties
The calculation puts the energy relative to the lowest polymorph listed for this composition at 0 meV per atom. As for the formation energy without anion corrections: 0.712 eV/atom.


Density functional theory data (PBE) for an optimized crystal structure of ReAsP2S.

Cell lengths 4.5024, 4.5024, 4.4986 Å; angles 90.00, 90.00, 90.00 degrees
Closest atoms and distances in Å follow each position.
Fractional coordinates of all 5 atoms:
Re (0.5000, 0.5000, 0.5000)  8 P 3.18, 4 S 3.18
As (0.0000, 0.0000, 0.0000)  2 S 2.25, 4 P 2.25
S (0.0000, 0.0000, 0.5000)  2 As 2.25
P (0.0000, 0.5000, 0.0000)  2 As 2.25
P (0.5000, 0.0000, 0.0000)  2 As 2.25

## Properties
The calculation puts the energy relative to the lowest polymorph listed for this composition at 928 meV per atom. As for the formation energy without anion corrections: 1.640 eV/atom.


Density functional theory data (PBE) for an optimized crystal structure of ReAs2PSe.

Cell lengths 4.8879, 4.8879, 4.6708 Å; angles 90.00, 90.00, 90.00 degrees
Closest atoms and distances in Å follow each position.
Fractional coordinates of all 5 atoms:
Re (0.0000, 0.0000, 0.0000)  2 Se 2.34, 4 As 2.44
As (0.0000, 0.5000, 0.0000)  2 Re 2.44
As (0.5000, 0.0000, 0.0000)  2 Re 2.44
Se (0.0000, 0.0000, 0.5000)  2 Re 2.34
P (0.5000, 0.5000, 0.5000)  8 As 3.38, 4 Se 3.46

## Properties
The calculation puts the energy relative to the lowest polymorph listed for this composition at 0 meV per atom. As for the formation energy without anion corrections: 0.896 eV/atom.


Density functional theory data (PBE) for an optimized crystal structure of ReAs2PSe.

Cell lengths 4.5760, 4.5760, 4.7229 Å; angles 90.00, 90.00, 90.00 degrees
Closest atoms and distances in Å follow each position.
Fractional coordinates of all 5 atoms:
Re (0.5000, 0.5000, 0.5000)  4 Se 3.24, 8 As 3.29
As (0.0000, 0.5000, 0.0000)  2 P 2.29
As (0.5000, 0.0000, 0.0000)  2 P 2.29
Se (0.0000, 0.0000, 0.5000)  2 P 2.36
P (0.0000, 0.0000, 0.0000)  4 As 2.29, 2 Se 2.36

## Properties
The calculation puts the energy relative to the lowest polymorph listed for this composition at 464 meV per atom. As for the formation energy without anion corrections: 1.359 eV/atom.


Density functional theory data (PBE) for an optimized crystal structure of ReAsPSe2.

Cell lengths 4.6240, 4.6240, 4.5296 Å; angles 90.00, 90.00, 90.00 degrees
Closest atoms and distances in Å follow each position.
Fractional coordinates of all 5 atoms:
Re (0.5000, 0.5000, 0.5000)  8 Se 3.24, 4 As 3.27
As (0.0000, 0.0000, 0.5000)  2 P 2.26
Se (0.0000, 0.5000, 0.0000)  2 P 2.31
Se (0.5000, 0.0000, 0.0000)  2 P 2.31
P (0.0000, 0.0000, 0.0000)  2 As 2.26, 4 Se 2.31

## Properties
The calculation puts the energy relative to the lowest polymorph listed for this composition at 479 meV per atom. As for the formation energy without anion corrections: 1.386 eV/atom.


Density functional theory data (PBE) for an optimized crystal structure of ReAsPSe2.

Cell lengths 4.7782, 4.7782, 4.9366 Å; angles 90.00, 90.00, 90.00 degrees
Closest atoms and distances in Å follow each position.
Fractional coordinates of all 5 atoms:
Re (0.0000, 0.0000, 0.0000)  4 Se 2.39, 2 As 2.47
As (0.0000, 0.0000, 0.5000)  2 Re 2.47
Se (0.0000, 0.5000, 0.0000)  2 Re 2.39
Se (0.5000, 0.0000, 0.0000)  2 Re 2.39
P (0.5000, 0.5000, 0.5000)  4 As 3.38, 8 Se 3.44

## Properties
The calculation puts the energy relative to the lowest polymorph listed for this composition at 0 meV per atom. As for the formation energy without anion corrections: 0.907 eV/atom.


Number 1: density of states at the Fermi level 1.729 states/eV/cell, total energy -7.12 eV per atom. Number 2: density of states at the Fermi level 2.090 states/eV/cell, total energy -6.40 eV per atom. Number 3: density of states at the Fermi level 1.096 states/eV/cell, total energy -6.83 eV per atom. Number 4: density of states at the Fermi level 3.290 states/eV/cell, total energy -6.28 eV per atom. Number 5: density of states at the Fermi level 3.852 states/eV/cell, total energy -6.53 eV per atom. Number 6: density of states at the Fermi level 5.582 states/eV/cell, total energy -5.39 eV per atom. Number 7: density of states at the Fermi level 4.625 states/eV/cell, total energy -5.70 eV per atom. Number 8: density of states at the Fermi level 6.998 states/eV/cell, total energy -4.77 eV per atom. Number 9: density of states at the Fermi level 3.425 states/eV/cell, total energy -5.23 eV per atom. Number 10: density of states at the Fermi level 3.231 states/eV/cell, total energy -4.77 eV per atom. Number 11: density of states at the Fermi level 5.437 states/eV/cell, total energy -4.51 eV per atom. Number 12: density of states at the Fermi level 5.407 states/eV/cell, total energy -4.99 eV per atom.